# 1
Below is a geometry-optimized FeAg3B structure, with properties calculated at the PBE-GGA level.

```
FeAg3B
1.0
4.865 0.000 0.000
0.000 4.865 0.000
0.000 0.000 4.865
Ag Fe B
3 1 1
Cartesian
2.432 0.000 0.000
0.000 2.432 0.000
0.000 0.000 2.432
0.000 0.000 0.000
2.432 2.432 2.432
```

Calculated values
- Theoretical density: 5.6 g cm⁻³
- Formation enthalpy at 0 K: 1.82 eV per atom
- DOS at the Fermi energy: 3.85 states/eV/f.u.
- Relative energy among the computed polymorphs: 1052.9 meV per atom
- Size of the total moment: 3.11 μB/f.u.

***

# 2
Below is a geometry-optimized FeAgB2 structure, with properties calculated at the PBE-GGA level.

```
FeAgB2
1.0
0.000 2.709 2.709
2.709 0.000 2.709
2.709 2.709 0.000
B Ag Fe
2 1 1
Cartesian
4.063 4.063 4.063
1.354 1.354 1.354
2.709 2.709 2.709
0.000 0.000 0.000
```

Calculated values
- Theoretical density: 7.7 g cm⁻³
- Formation enthalpy at 0 K: 0.95 eV per atom
- DOS at the Fermi energy: 1.54 states/eV/f.u.
- Relative energy among the computed polymorphs: 424.6 meV per atom
- Size of the total moment: 1.45 μB/f.u.

***

# 3
Below is a geometry-optimized Fe2AgB structure, with properties calculated at the PBE-GGA level.

```
Fe2AgB
1.0
4.254 0.000 0.000
0.000 4.254 0.000
2.127 2.127 6.577
Fe Ag B
4 2 2
Cartesian
2.577 1.063 1.644
1.677 3.190 1.644
5.317 4.704 4.933
3.190 3.804 4.933
0.000 0.000 0.000
4.254 2.127 3.289
2.127 4.254 3.289
2.127 2.127 0.000
```

Calculated values
- Theoretical density: 6.4 g cm⁻³
- Formation enthalpy at 0 K: 0.89 eV per atom
- DOS at the Fermi energy: 4.09 states/eV/f.u.
- Size of the total moment: 4.27 μB/f.u.

***

# 4
Below is a geometry-optimized FeAg2B structure, with properties calculated at the PBE-GGA level.

```
FeAg2B
1.0
3.617 0.000 0.000
0.000 3.617 0.000
1.809 1.809 9.238
Fe Ag B
2 4 2
Cartesian
3.617 1.809 4.619
0.000 0.000 0.000
2.713 2.734 6.928
4.522 4.501 6.928
2.692 0.904 2.309
0.925 2.713 2.309
1.809 1.809 0.000
1.809 3.617 4.619
```

Calculated values
- Theoretical density: 7.8 g cm⁻³
- Formation enthalpy at 0 K: 1.05 eV per atom
- DOS at the Fermi energy: 2.16 states/eV/f.u.
- Size of the total moment: 2.66 μB/f.u.

***

# 5
Below is a geometry-optimized FeAg3B structure, with properties calculated at the PBE-GGA level.

```
FeAg3B
1.0
-4.291 0.049 0.421
0.258 -3.096 2.989
0.336 3.000 3.078
B Ag Fe
1 3 1
Cartesian
0.000 0.000 0.000
0.129 -1.548 1.495
0.168 1.500 1.539
-2.145 0.025 0.210
-1.848 -0.023 3.244
```

Calculated values
- Theoretical density: 8.1 g cm⁻³
- Formation enthalpy at 0 K: 0.76 eV per atom
- DOS at the Fermi energy: 5.62 states/eV/f.u.
- Relative energy among the computed polymorphs: 0.0 meV per atom
- Size of the total moment: 3.15 μB/f.u.

***

# 6
Below is a geometry-optimized FeAgB2 structure, with properties calculated at the PBE-GGA level.

```
FeAgB2
1.0
3.655 0.000 0.000
0.000 3.655 0.000
1.828 1.828 6.986
B Ag Fe
4 2 2
Cartesian
2.741 3.656 5.240
4.569 3.655 5.240
1.827 0.914 1.747
1.828 2.741 1.747
0.000 0.000 0.000
3.655 1.828 3.493
1.828 1.828 0.000
1.828 3.655 3.493
```

Calculated values
- Theoretical density: 6.6 g cm⁻³
- Formation enthalpy at 0 K: 0.53 eV per atom
- DOS at the Fermi energy: 0.72 states/eV/f.u.
- Relative energy among the computed polymorphs: 0.0 meV per atom
- Size of the total moment: 1.06 μB/f.u.

***

# 7
Below is a geometry-optimized NaFeAgB2 structure, with properties calculated at the PBE-GGA level.

```
NaFeAgB2
1.0
3.857 0.000 0.000
0.000 4.844 0.000
0.000 0.000 3.857
Ag B Fe Na
1 2 1 1
Cartesian
1.928 2.422 1.928
0.000 0.000 1.928
1.928 0.000 0.000
0.000 0.000 0.000
0.000 2.422 0.000
```

Calculated values
- Theoretical density: 4.8 g cm⁻³
- Formation enthalpy at 0 K: 1.00 eV per atom
- DOS at the Fermi energy: 3.37 states/eV/f.u.
- Size of the total moment: 0.50 μB/f.u.

***

# 8
Below is a geometry-optimized Fe2NiAgB structure, with properties calculated at the PBE-GGA level.

```
Fe2NiAgB
1.0
4.302 0.000 0.000
0.000 4.704 0.000
0.000 0.000 4.302
Fe B Ni Ag
2 1 1 1
Cartesian
2.151 0.000 0.000
0.000 0.000 2.151
2.151 2.352 2.151
0.000 0.000 0.000
0.000 2.352 0.000
```

Calculated values
- Theoretical density: 5.5 g cm⁻³
- Formation enthalpy at 0 K: 1.71 eV per atom
- DOS at the Fermi energy: 4.34 states/eV/f.u.
- Size of the total moment: 6.87 μB/f.u.